Entry 1:
Compound: Sm5Y3H12
Source: Alexandria via LeMat-Bulk
Functional: GGA-PBE
Structure: relaxed

## Properties
- Magnetization: 0.00 μB per cell
- Energy: -4.6097 eV/atom

a = 11.530 Å, b = 11.530 Å, c = 11.530 Å
α = 109.47°, β = 109.47°, γ = 109.47°
Atoms (fractional coordinates):
Y1 0.750 0.375 0.125
Y2 0.875 0.750 0.125
Y3 0.375 0.750 0.625
Y4 0.250 0.125 0.375
Y5 0.875 0.125 0.250
Y6 0.375 0.625 0.250
Y7 0.625 0.375 0.750
Y8 0.125 0.875 0.750
Y9 0.750 0.875 0.625
Y10 0.625 0.250 0.375
Y11 0.125 0.250 0.875
Y12 0.250 0.625 0.875
Sm1 0.125 0.375 0.250
Sm2 0.000 0.500 0.000
Sm3 0.000 0.000 0.000
Sm4 0.375 0.250 0.125
Sm5 0.500 0.000 0.500
Sm6 0.500 0.500 0.000
Sm7 0.125 0.750 0.375
Sm8 0.750 0.125 0.875
Sm9 0.750 0.625 0.375
Sm10 0.375 0.125 0.750
Sm11 0.625 0.875 0.250
Sm12 0.500 0.500 0.500
Sm13 0.500 0.000 0.000
Sm14 0.000 0.000 0.500
Sm15 0.250 0.375 0.625
Sm16 0.250 0.875 0.125
Sm17 0.000 0.500 0.500
Sm18 0.875 0.250 0.625
Sm19 0.625 0.750 0.875
Sm20 0.875 0.625 0.750
H1 0.726 0.158 0.069
H2 0.343 0.569 0.411
H3 0.931 0.342 0.274
H4 0.569 0.226 0.158
H5 0.569 0.726 0.657
H6 0.931 0.589 0.157
H7 0.343 0.774 0.431
H8 0.089 0.931 0.158
H9 0.589 0.931 0.657
H10 0.726 0.569 0.157
H11 0.774 0.431 0.342
H12 0.843 0.911 0.069
H13 0.158 0.726 0.569
H14 0.342 0.411 0.069
H15 0.069 0.911 0.342
H16 0.431 0.158 0.589
H17 0.069 0.157 0.226
H18 0.431 0.657 0.089
H19 0.843 0.931 0.274
H20 0.158 0.431 0.089
H21 0.342 0.931 0.774
H22 0.589 0.658 0.431
H23 0.911 0.843 0.569
H24 0.774 0.343 0.931
H25 0.411 0.342 0.569
H26 0.089 0.157 0.431
H27 0.226 0.657 0.069
H28 0.157 0.069 0.726
H29 0.658 0.069 0.226
H30 0.842 0.569 0.911
H31 0.569 0.343 0.911
H32 0.569 0.842 0.411
H33 0.931 0.843 0.774
H34 0.931 0.089 0.658
H35 0.842 0.274 0.431
H36 0.157 0.089 0.931
H37 0.658 0.589 0.931
H38 0.411 0.069 0.343
H39 0.274 0.431 0.843
H40 0.226 0.569 0.658
H41 0.911 0.069 0.842
H42 0.657 0.226 0.569
H43 0.431 0.774 0.842
H44 0.069 0.411 0.843
H45 0.431 0.274 0.343
H46 0.069 0.658 0.726
H47 0.657 0.431 0.589
H48 0.274 0.842 0.931

=====

Entry 2:
Compound: Rb3TiAs
Source: Alexandria via LeMat-Bulk
Functional: GGA-PBE
Structure: relaxed

## Properties
- Magnetization: 2.00 μB per cell
- Calculated formation energy: 0.75 eV/atom
- Distance to the lowest polymorph of the same formula: 0.0 meV/atom
- Energy: -2.3373 eV/atom

a = 6.704 Å, b = 6.704 Å, c = 6.704 Å
α = 90.00°, β = 90.00°, γ = 90.00°
Each line ends with the local moment (μB).
Atoms (fractional coordinates):
As1 0.000 0.000 0.000  0.33
Rb1 0.000 0.500 0.000  0.01
Rb2 0.000 0.000 0.500  0.01
Rb3 0.500 0.000 0.000  0.00
Ti1 0.500 0.500 0.500  -2.07

=====

Entry 3:
Compound: Nb6AlS
Source: Alexandria via LeMat-Bulk
Functional: GGA-PBE
Structure: relaxed

## Properties
- Magnetization: 0.00 μB per cell
- Energy: -8.4208 eV/atom
- Formation energy from raw total energies: 0.12 eV/atom

a = 5.924 Å, b = 5.926 Å, c = 6.056 Å
α = 60.71°, β = 60.73°, γ = 60.00°
Atoms (fractional coordinates):
Nb1 0.004 0.467 0.755
Nb2 0.774 0.003 0.755
Nb3 0.533 0.225 0.245
Nb4 0.226 0.997 0.245
Nb5 0.996 0.533 0.245
Nb6 0.467 0.775 0.755
Al1 0.500 0.500 0.500
S1 0.000 0.000 0.000

=====

Entry 4:
Compound: Li2MnBe
Source: Alexandria via LeMat-Bulk
Functional: GGA-PBE
Structure: relaxed

## Properties
- Magnetization: 0.33 μB per cell
- Calculated formation energy: 0.22 eV/atom
- Energy: -3.9602 eV/atom

a = 2.369 Å, b = 2.369 Å, c = 8.395 Å
α = 90.00°, β = 90.00°, γ = 90.00°
Each line ends with the local moment (μB).
Atoms (fractional coordinates):
Be1 0.500 0.500 0.729  0.00
Li1 0.000 0.000 0.970  0.01
Li2 0.500 0.500 0.273  -0.01
Mn1 0.000 0.000 0.528  0.33

=====

Entry 5:
Compound: KLiSnAs2
Source: Alexandria via LeMat-Bulk
Functional: GGA-PBE
Structure: relaxed

## Properties
- Magnetization: 0.00 μB per cell
- Calculated formation energy: -0.43 eV/atom
- Distance to the lowest polymorph of the same formula: 0.0 meV/atom
- Energy: -3.6970 eV/atom

a = 4.325 Å, b = 7.250 Å, c = 9.820 Å
α = 99.73°, β = 90.00°, γ = 107.35°
Atoms (fractional coordinates):
K1 0.356 0.712 0.330
K2 0.644 0.288 0.670
Li1 0.683 0.366 0.066
Li2 0.317 0.634 0.934
Sn1 0.061 0.123 0.175
Sn2 0.939 0.877 0.825
As1 0.367 0.733 0.677
As2 0.633 0.267 0.323
As3 0.128 0.256 0.932
As4 0.872 0.744 0.068

=====

Entry 6:
Compound: Cs2GaPd
Source: Alexandria via LeMat-Bulk
Functional: GGA-PBE
Structure: relaxed

## Properties
- Magnetization: 0.00 μB per cell
- Calculated formation energy: 0.40 eV/atom
- Distance to the lowest polymorph of the same formula: 506.6 meV/atom
- Energy: -2.0835 eV/atom

a = 6.028 Å, b = 6.028 Å, c = 6.028 Å
α = 60.00°, β = 60.00°, γ = 60.00°
Atoms (fractional coordinates):
Cs1 0.250 0.250 0.250
Cs2 0.750 0.750 0.750
Ga1 0.000 0.000 0.000
Pd1 0.500 0.500 0.500